1.
# Mg2MnNi PBE relaxed
data_Mg2MnNi
_space_group_name_H-M_alt 'P 4 m m'
_space_group_IT_number 99
_cell_length_a 3.088
_cell_length_b 3.088
_cell_length_c 6.955
_cell_angle_alpha 90.00
_cell_angle_beta 90.00
_cell_angle_gamma 90.00
loop_
_space_group_symop_operation_xyz
'x,y,z'
'-y,x,z'
'-x,-y,z'
'y,-x,z'
'-x,y,z'
'y,x,z'
'x,-y,z'
'-y,-x,z'
loop_
_atom_site_label
_atom_site_fract_x
_atom_site_fract_y
_atom_site_fract_z
_atom_site_occupancy
Mg1 0.000 0.000 0.000 1
Mg2 0.500 0.500 0.331 1
Mn1 0.000 0.000 0.595 1
Ni1 0.500 0.500 0.765 1
# Energy above the most stable polymorph in this dataset ... 0.0 meV per atom
# Energy relative to the elements ... 12 meV/atom
# Magnetic moment ... 4.1 μB/cell

---

2.
# Mg2MnNi PBE relaxed
data_Mg2MnNi
_space_group_name_H-M_alt 'P m m m'
_space_group_IT_number 47
_cell_length_a 3.040
_cell_length_b 3.187
_cell_length_c 6.400
_cell_angle_alpha 90.00
_cell_angle_beta 90.00
_cell_angle_gamma 90.00
loop_
_space_group_symop_operation_xyz
'x,y,z'
'-x,-y,-z'
'-x,-y,z'
'x,y,-z'
'x,-y,-z'
'-x,y,z'
'-x,y,-z'
'x,-y,z'
loop_
_atom_site_label
_atom_site_fract_x
_atom_site_fract_y
_atom_site_fract_z
_atom_site_occupancy
Mg1 0.000 0.000 0.229 1
Mn1 0.500 0.500 0.500 1
Ni1 0.500 0.500 0.000 1
# Energy above the most stable polymorph in this dataset ... 85.6 meV per atom
# Energy relative to the elements ... 98 meV/atom
# Magnetic moment ... 3.4 μB/cell

---

3.
# Mg2MnNi PBE relaxed
data_Mg2MnNi
_space_group_name_H-M_alt 'C 1 m 1'
_space_group_IT_number 8
_cell_length_a 10.054
_cell_length_b 3.150
_cell_length_c 4.538
_cell_angle_alpha 90.00
_cell_angle_beta 116.45
_cell_angle_gamma 90.00
loop_
_space_group_symop_operation_xyz
'x,y,z'
'x,-y,z'
'x+1/2,y+1/2,z'
'x+1/2,-y+1/2,z'
loop_
_atom_site_label
_atom_site_fract_x
_atom_site_fract_y
_atom_site_fract_z
_atom_site_occupancy
Mg1 0.000 0.000 0.000 1
Mg2 0.218 0.000 0.718 1
Mn1 0.275 0.500 0.275 1
Ni1 0.478 0.000 0.477 1
# Energy above the most stable polymorph in this dataset ... 43.5 meV per atom
# Energy relative to the elements ... 56 meV/atom
# Magnetic moment ... 7.9 μB/cell

---

4.
# MgMnNi3 PBE relaxed
data_MgMnNi3
_space_group_name_H-M_alt 'P m -3 m'
_space_group_IT_number 221
_space_group_name_Hall '-P 4 2 3'
_cell_length_a 4.339
_cell_length_b 4.339
_cell_length_c 4.339
_cell_angle_alpha 90.00
_cell_angle_beta 90.00
_cell_angle_gamma 90.00
loop_
_atom_site_label
_atom_site_fract_x
_atom_site_fract_y
_atom_site_fract_z
_atom_site_occupancy
Mg1 0.000 0.000 0.000 1
Mn1 0.500 0.500 0.500 1
Ni1 0.000 0.500 0.500 1
# Energy above the most stable polymorph in this dataset ... 0.0 meV per atom
# Energy relative to the elements ... 731 meV/atom
# Magnetic moment ... 4.6 μB/cell